A plane-wave DFT calculation with PBE was carried out for a relaxed structure of NaPm3Au4.

## Properties
ΔH_f (0 K) ... -700.8 meV per atom
Calculated total energy ... -4.286 eV per atom

Geometry as POSCAR:
```
NaPm3Au4
1.0
2.584 1.492 8.472
-2.584 1.492 8.472
0.000 -2.983 8.472
Na Pm Au
1 3 4
direct
0.000 0.000 0.000
0.256 0.256 0.256
0.500 0.500 0.500
0.744 0.744 0.744
0.133 0.133 0.133
0.380 0.380 0.380
0.620 0.620 0.620
0.867 0.867 0.867
```